i:
Tb2CeEr3: optimized geometry, PBE.

Results
SG: Imma (74)
Magnetization (μB per formula unit): 0.903
DOS at the Fermi energy (states/eV/f.u.): 11.4

Structure (POSCAR):
```
Tb2CeEr3
1.0
8.260 0.000 4.733
1.417 5.020 7.101
-1.197 2.627 11.663
Tb Ce Er
4 2 6
Direct
0.854 0.353 0.382
0.589 0.147 0.118
0.411 0.853 0.882
0.146 0.647 0.618
0.000 0.500 0.500
0.000 0.000 0.000
0.610 0.250 0.750
0.390 0.750 0.250
0.317 0.047 0.485
0.849 0.453 0.015
0.683 0.953 0.515
0.151 0.547 0.985
```

=====

ii:
Tb2CeEr3: optimized geometry, PBE.

Results
SG: C2/m (12)
Magnetization (μB per formula unit): 0.719
DOS at the Fermi energy (states/eV/f.u.): 12.3

Structure (POSCAR):
```
Tb2CeEr3
1.0
-0.064 -1.364 3.138
5.096 -7.390 -1.243
11.352 4.057 3.863
Tb Ce Er
4 2 6
Direct
0.822 0.476 0.881
0.178 0.524 0.119
0.657 0.151 0.536
0.343 0.849 0.464
0.549 0.515 0.388
0.451 0.485 0.612
0.041 0.128 0.791
0.959 0.872 0.209
0.600 0.828 0.972
0.400 0.172 0.028
0.741 0.811 0.708
0.259 0.189 0.292
```

=====

Stability summary: most stable i, least stable ii.

=====

i:
Tb7CeEr12: optimized geometry, PBE.

Results
SG: Im-3m (229)
Magnetization (μB per formula unit): 1.510
DOS at the Fermi energy (states/eV/f.u.): 32.7

Structure (POSCAR):
```
Tb7CeEr12
1.0
-3.477 0.585 -9.042
5.636 -7.861 0.796
-7.380 -0.662 6.268
Tb Ce Er
7 1 12
Direct
0.500 0.500 0.000
0.000 0.500 0.500
0.500 0.000 0.500
0.500 0.500 0.500
0.000 0.000 0.500
0.500 0.000 0.000
0.000 0.500 0.000
0.000 0.000 0.000
0.489 0.745 0.745
0.000 0.745 0.255
0.511 0.255 0.255
0.000 0.255 0.745
0.745 0.000 0.255
0.745 0.489 0.745
0.255 0.000 0.745
0.255 0.511 0.255
0.745 0.745 0.489
0.255 0.255 0.511
0.745 0.255 0.000
0.255 0.745 0.000
```

=====

ii:
Tb7CeEr12: optimized geometry, PBE.

Results
SG: R-3 (148)
Magnetization (μB per formula unit): 0.000
DOS at the Fermi energy (states/eV/f.u.): 39.5

Structure (POSCAR):
```
Tb7CeEr12
1.0
-3.132 -5.614 -5.728
-5.744 -2.663 5.835
-5.517 5.999 -2.777
Tb Ce Er
7 1 12
Direct
0.968 0.673 0.063
0.327 0.937 0.032
0.937 0.032 0.327
0.500 0.500 0.500
0.063 0.968 0.673
0.673 0.063 0.968
0.032 0.327 0.937
0.000 0.000 0.000
0.774 0.232 0.626
0.768 0.374 0.226
0.458 0.126 0.350
0.874 0.650 0.542
0.374 0.226 0.768
0.650 0.542 0.874
0.350 0.458 0.126
0.626 0.774 0.232
0.126 0.350 0.458
0.542 0.874 0.650
0.232 0.626 0.774
0.226 0.768 0.374
```

=====

Stability summary: most stable ii, least stable i.

=====

i:
Tb6CeEr3: optimized geometry, PBE.

Results
SG: Cmc2_1 (36)
Magnetization (μB per formula unit): 0.609
DOS at the Fermi energy (states/eV/f.u.): 16.5

Structure (POSCAR):
```
Tb6CeEr3
1.0
-2.252 1.466 -5.483
1.297 -10.305 -3.287
-9.395 2.964 4.651
Tb Ce Er
12 2 6
Direct
0.032 0.709 0.619
0.532 0.619 0.709
0.379 0.543 0.963
0.879 0.963 0.543
0.427 0.952 0.048
0.628 0.278 0.722
0.128 0.722 0.278
0.927 0.048 0.952
0.379 0.037 0.457
0.879 0.457 0.037
0.032 0.381 0.291
0.532 0.291 0.381
0.128 0.206 0.794
0.628 0.794 0.206
0.456 0.941 0.719
0.956 0.719 0.941
0.067 0.386 0.614
0.567 0.614 0.386
0.956 0.059 0.281
0.456 0.281 0.059
```

=====

ii:
Tb6CeEr3: optimized geometry, PBE.

Results
SG: P-1 (2)
Magnetization (μB per formula unit): 0.985
DOS at the Fermi energy (states/eV/f.u.): 16.8

Structure (POSCAR):
```
Tb6CeEr3
1.0
-5.395 2.913 -0.233
-2.794 -5.671 -6.908
-0.030 -8.678 -0.113
Tb Ce Er
6 1 3
Direct
0.897 0.301 0.096
0.198 0.402 0.797
0.103 0.699 0.904
0.802 0.598 0.203
0.301 0.102 0.697
0.699 0.898 0.303
0.500 0.500 0.500
0.401 0.799 0.598
0.599 0.201 0.402
0.000 0.000 0.000
```

=====

Stability summary: most stable ii, least stable i.

=====

i:
CeErTc2: optimized geometry, PBE.

Results
SG: P4/mmm (123)
Magnetization (μB per formula unit): 0.000
DOS at the Fermi energy (states/eV/f.u.): 5.6

Structure (POSCAR):
```
CeErTc2
1.0
-3.237 -1.004 0.309
0.084 -1.245 -3.166
2.112 -6.058 2.439
Tc Ce Er
2 1 1
Direct
0.000 0.000 0.772
0.000 0.000 0.228
0.500 0.500 0.000
0.500 0.500 0.500
```

=====

ii:
CeErTc2: optimized geometry, PBE.

Results
SG: Fm-3m (225)
Magnetization (μB per formula unit): 0.000
DOS at the Fermi energy (states/eV/f.u.): 5.4

Structure (POSCAR):
```
CeErTc2
1.0
-4.578 -1.096 1.060
-0.975 -3.092 3.573
-1.975 1.598 4.102
Tc Ce Er
2 1 1
Direct
0.250 0.250 0.250
0.750 0.750 0.750
0.500 0.500 0.500
0.000 0.000 0.000
```

=====

Stability summary: most stable i, least stable ii.